# K3MoO

A relaxed structure of K3MoO (PBE+U, Alexandria via LeMat-Bulk).

Summary:
- Calculated total energy: -3.0732 eV per atom
- Polymorph energy (0 for the lowest one): 0.0 meV per atom
- Total moment: 5.0 μB/cell

Geometry as CIF:
```
data_K3MoO
_chemical_formula_sum 'K3 Mo1 O1'
_space_group_name_H-M_alt 'P m -3 m'
_space_group_IT_number 221
_space_group_name_Hall '-P 4 2 3'
_cell_length_a 5.515
_cell_length_b 5.515
_cell_length_c 5.515
_cell_angle_alpha 90.00
_cell_angle_beta 90.00
_cell_angle_gamma 90.00
loop_
_atom_site_label
_atom_site_fract_x
_atom_site_fract_y
_atom_site_fract_z
K1 0.000 0.000 0.500
Mo1 0.500 0.500 0.500
O1 0.000 0.000 0.000
```